1.
Compound: Ta6PtC
Source: Alexandria via LeMat-Bulk
Functional: PBE
Structure: relaxed

Calculated values
crystal system	triclinic
energy relative to the elements	-0.23	eV/atom
calculated total energy	-88.26	eV for the cell shown

Unit cell a=4.9691 b=5.4030 c=5.2835 alpha=82.15 beta=93.72 gamma=71.94
Element x y z (fractional)
Ta (0.6074, 0.2333, 0.0941)
Ta (0.9415, 0.6412, 0.2103)
Ta (0.0585, 0.3588, 0.7897)
Pt (0.5000, 0.5000, 0.5000)
Ta (0.7806, 0.9438, 0.6487)
C (0.0000, 0.0000, 0.0000)
Ta (0.2194, 0.0562, 0.3513)
Ta (0.3926, 0.7667, 0.9059)


2.
Compound: Pr2Sm3Er4
Source: Alexandria via LeMat-Bulk
Functional: PBE
Structure: relaxed

Calculated values
crystal system	monoclinic
energy relative to the elements	0.10	eV/atom
relative energy among the computed polymorphs	0.076	eV/atom
calculated total energy	-82.21	eV for the cell shown

Unit cell a=6.1085 b=11.3162 c=11.3162 alpha=62.24 beta=63.32 gamma=63.32
Element x y z (fractional)
Sm (0.7641, 0.0144, 0.3110)
Pr (0.9368, 0.5115, 0.2709)
Pr (0.0632, 0.4885, 0.7291)
Er (0.3985, 0.6206, 0.8463)
Er (0.5774, 0.0500, 0.8304)
Er (0.1015, 0.1537, 0.3794)
Er (0.6015, 0.3794, 0.1537)
Pr (0.4368, 0.2709, 0.5115)
Pr (0.5632, 0.7291, 0.4885)
Er (0.4226, 0.9500, 0.1696)
Er (0.0774, 0.8304, 0.0500)
Sm (0.7500, 0.3559, 0.6441)
Er (0.9226, 0.1696, 0.9500)
Sm (0.2359, 0.9856, 0.6890)
Sm (0.7359, 0.6890, 0.9856)
Sm (0.2641, 0.3110, 0.0144)
Er (0.8985, 0.8463, 0.6206)
Sm (0.2500, 0.6441, 0.3559)


3.
Compound: Zr3Ta2
Source: Alexandria via LeMat-Bulk
Functional: PBE
Structure: relaxed

Calculated values
crystal system	trigonal
energy relative to the elements	0.45	eV/atom
relative energy among the computed polymorphs	0.247	eV/atom
calculated total energy	-47.08	eV for the cell shown

Unit cell a=4.7871 b=4.7871 c=5.9181 alpha=90.00 beta=90.00 gamma=120.00
Element x y z (fractional)
Ta (0.3333, 0.6667, 0.8865)
Zr (0.6667, 0.3333, 0.6384)
Ta (0.6667, 0.3333, 0.1135)
Zr (0.3333, 0.6667, 0.3616)
Zr (0.0000, 0.0000, 0.0000)